Arrangement P

## BSeN2F (PBE)

Data for a geometry-optimized BSeN2F structure.

Summary:
DOS(E_F)   1.71 states/eV/f.u.
Space group   P4/mmm (123)

Lattice parameters (Å, degrees): 3.5547 3.5547 7.0390 90.00 90.00 90.00
Last column: nearest neighbours and their distance in Å.
Sites, in units of the cell vectors:
B 0.5000 0.5000 0.5000  4 Se 2.51
Se 0.0000 0.0000 0.5000  4 B 2.51
F 0.0000 0.0000 0.0000  4 N 1.78
N 0.0000 0.5000 0.0000  2 F 1.78
N 0.5000 0.0000 0.0000  2 F 1.78

=====

Arrangement Q

## BSeN2F (PBE)

Data for a geometry-optimized BSeN2F structure.

Summary:
DOS(E_F)   1.23 states/eV/f.u.
Space group   P4/mmm (123)

Lattice parameters (Å, degrees): 3.7593 3.7593 4.3049 90.00 90.00 90.00
Last column: nearest neighbours and their distance in Å.
Sites, in units of the cell vectors:
N 0.5000 0.0000 0.0000  2 Se 1.88
N 0.0000 0.5000 0.0000  2 Se 1.88
Se 0.0000 0.0000 0.0000  4 N 1.88
F 0.0000 0.0000 0.5000  2 Se 2.15
B 0.5000 0.5000 0.5000  4 F 2.66, 8 N 2.86

=====

Arrangement R

## BSeN2F (PBE)

Data for a geometry-optimized BSeN2F structure.

Summary:
DOS(E_F)   2.92 states/eV/f.u.
Space group   P4/mmm (123)

Lattice parameters (Å, degrees): 3.1258 3.1258 7.1271 90.00 90.00 90.00
Last column: nearest neighbours and their distance in Å.
Sites, in units of the cell vectors:
F 0.5000 0.5000 0.5000  4 Se 2.21
N 0.5000 0.0000 0.0000  2 B 1.56
N 0.0000 0.5000 0.0000  2 B 1.56
Se 0.0000 0.0000 0.5000  4 F 2.21
B 0.0000 0.0000 0.0000  4 N 1.56

=====

Arrangement S

## BSeN2F (PBE)

Data for a geometry-optimized BSeN2F structure.

Summary:
DOS(E_F)   0.77 states/eV/f.u.
Space group   P4/mmm (123)

Lattice parameters (Å, degrees): 3.5795 3.5795 3.3023 90.00 90.00 90.00
Last column: nearest neighbours and their distance in Å.
Sites, in units of the cell vectors:
F 0.0000 0.0000 0.5000  2 B 1.65
B 0.0000 0.0000 0.0000  2 F 1.65, 4 N 1.79
N 0.0000 0.5000 0.0000  2 B 1.79
N 0.5000 0.0000 0.0000  2 B 1.79
Se 0.5000 0.5000 0.5000  8 N 2.44, 4 F 2.53

=====

Short version: arrangement S, arrangement R, arrangement Q, arrangement P, most stable first.

=====

Arrangement P

## BSe2NF (PBE)

Data for a geometry-optimized BSe2NF structure.

Summary:
DOS(E_F)   2.60 states/eV/f.u.
Space group   P4/mmm (123)

Lattice parameters (Å, degrees): 4.5259 4.5259 3.8304 90.00 90.00 90.00
Last column: nearest neighbours and their distance in Å.
Sites, in units of the cell vectors:
B 0.5000 0.5000 0.5000  8 Se 2.96, 4 N 3.20
Se 0.5000 0.0000 0.0000  2 F 2.26
N 0.0000 0.0000 0.5000  2 F 1.92
F 0.0000 0.0000 0.0000  2 N 1.92
Se 0.0000 0.5000 0.0000  2 F 2.26

=====

Arrangement Q

## BSe2NF (PBE)

Data for a geometry-optimized BSe2NF structure.

Summary:
DOS(E_F)   3.06 states/eV/f.u.
Space group   P4/mmm (123)

Lattice parameters (Å, degrees): 6.8289 6.8289 2.5370 90.00 90.00 90.00
Last column: nearest neighbours and their distance in Å.
Sites, in units of the cell vectors:
B 0.0000 0.0000 0.0000  2 N 1.27
F 0.5000 0.5000 0.5000  2 F 2.54
Se 0.5000 0.0000 0.0000  2 Se 2.54
Se 0.0000 0.5000 0.0000  2 Se 2.54
N 0.0000 0.0000 0.5000  2 B 1.27

=====

Short version: arrangement Q, arrangement P, most stable first.

=====

Arrangement P

## SiBN2F (PBE)

Data for a geometry-optimized SiBN2F structure.

Summary:
DOS(E_F)   2.36 states/eV/f.u.
Space group   P4/mmm (123)

Lattice parameters (Å, degrees): 3.6063 3.6063 3.4775 90.00 90.00 90.00
Last column: nearest neighbours and their distance in Å.
Sites, in units of the cell vectors:
F 0.0000 0.0000 0.5000  2 Si 1.74
B 0.5000 0.5000 0.5000  8 N 2.50, 4 F 2.55
N 0.0000 0.5000 0.0000  2 Si 1.80
Si 0.0000 0.0000 0.0000  2 F 1.74, 4 N 1.80
N 0.5000 0.0000 0.0000  2 Si 1.80

=====

Arrangement Q

## SiBN2F (PBE)

Data for a geometry-optimized SiBN2F structure.

Summary:
DOS(E_F)   0.50 states/eV/f.u.
Space group   P4/mmm (123)

Lattice parameters (Å, degrees): 3.1829 3.1829 4.6052 90.00 90.00 90.00
Last column: nearest neighbours and their distance in Å.
Sites, in units of the cell vectors:
N 0.0000 0.5000 0.0000  2 B 1.59
Si 0.5000 0.5000 0.5000  4 F 2.25
F 0.0000 0.0000 0.5000  4 Si 2.25, 2 B 2.30
N 0.5000 0.0000 0.0000  2 B 1.59
B 0.0000 0.0000 0.0000  4 N 1.59

=====

Arrangement R

## SiBN2F (PBE)

Data for a geometry-optimized SiBN2F structure.

Summary:
DOS(E_F)   1.85 states/eV/f.u.
Space group   P4/mmm (123)

Lattice parameters (Å, degrees): 4.3495 2.8283 4.3495 90.00 90.00 90.00
Last column: nearest neighbours and their distance in Å.
Sites, in units of the cell vectors:
B 0.0000 0.5000 0.0000  2 F 1.41
Si 0.5000 0.5000 0.5000  8 N 2.59, 2 Si 2.83
N 0.5000 0.0000 0.0000  2 F 2.17
F 0.0000 0.0000 0.0000  2 B 1.41
N 0.0000 0.0000 0.5000  2 F 2.17

=====

Short version: arrangement Q, arrangement P, arrangement R, most stable first.

=====

Arrangement P

## SiBNF2 (PBE)

Data for a geometry-optimized SiBNF2 structure.

Summary:
DOS(E_F)   2.65 states/eV/f.u.
Space group   P4/mmm (123)

Lattice parameters (Å, degrees): 4.4267 4.4267 2.6795 90.00 90.00 90.00
Last column: nearest neighbours and their distance in Å.
Sites, in units of the cell vectors:
B 0.0000 0.0000 0.0000  2 N 1.34
F 0.5000 0.0000 0.0000  2 B 2.21
Si 0.5000 0.5000 0.5000  8 F 2.59, 2 Si 2.68
F 0.0000 0.5000 0.0000  2 B 2.21
N 0.0000 0.0000 0.5000  2 B 1.34

=====

Arrangement Q

## SiBNF2 (PBE)

Data for a geometry-optimized SiBNF2 structure.

Summary:
DOS(E_F)   0.10 states/eV/f.u.
Space group   P4/mmm (123)

Lattice parameters (Å, degrees): 3.8562 3.8562 3.3905 90.00 90.00 90.00
Last column: nearest neighbours and their distance in Å.
Sites, in units of the cell vectors:
N 0.0000 0.0000 0.5000  2 Si 1.70
F 0.5000 0.0000 0.0000  2 Si 1.93
F 0.0000 0.5000 0.0000  2 Si 1.93
B 0.5000 0.5000 0.5000  8 F 2.57, 4 N 2.73
Si 0.0000 0.0000 0.0000  2 N 1.70

=====

Short version: arrangement P, arrangement Q, most stable first.